Entry 1:
The following is a DFT calculation (PBE) of a relaxed CuSnIr crystal.

```
data_CuSnIr
_symmetry_space_group_name_H-M 'P 3 m 1'
_symmetry_Int_Tables_number 156
_symmetry_space_group_name_Hall 'P 3 -2"'
_cell_length_a 4.3215
_cell_length_b 4.3215
_cell_length_c 2.9817
_cell_angle_alpha 90.00
_cell_angle_beta 90.00
_cell_angle_gamma 120.00
loop_
_atom_site_label
_atom_site_fract_x
_atom_site_fract_y
_atom_site_fract_z
Cu1 0.0000 0.0000 0.0000
Sn1 0.6667 0.3333 0.2689
Ir1 0.3333 0.6667 0.6356
```

Excess energy over the best structure of this formula in the dataset: 119 meV per atom
Crystal system: trigonal
Calculated formation energy: 0.106 eV/atom
Total magnetic moment: 0.00 μB/cell



Entry 2:
The following is a DFT calculation (PBE) of a relaxed SbW2S crystal.

```
data_SbW2S
_symmetry_space_group_name_H-M 'I -4 2 d'
_symmetry_Int_Tables_number 122
_symmetry_space_group_name_Hall 'I -4 2bw'
_cell_length_a 4.521
_cell_length_b 4.521
_cell_length_c 15.987
_cell_angle_alpha 90.00
_cell_angle_beta 90.00
_cell_angle_gamma 90.00
loop_
_atom_site_label
_atom_site_fract_x
_atom_site_fract_y
_atom_site_fract_z
Sb1 0.000 0.000 0.000
W1 0.162 0.250 0.625
S1 0.000 0.000 0.500
```

Excess energy over the best structure of this formula in the dataset: 5 meV per atom
Crystal system: tetragonal
Total magnetic moment: 0.00 μB/cell
Raw formation energy: 0.65 eV per atom



Among the records above, which one has the lowest excess energy over the best structure of this formula in the dataset?
SbW2S